Entry 1:
First-principles (PBE-GGA) data for a relaxed Tl2OsBr crystal, as listed in Alexandria.

```
Tl2OsBr
1.0
-1.5621 2.2594 7.1180
1.5621 -2.2594 7.1180
1.5621 2.2594 -7.1180
Tl Os Br
2 1 1
Direct
0.1759 0.1759 0.0000
0.8241 0.8241 0.0000
0.0000 0.5000 0.5000
0.5000 0.0000 0.5000
```

Output
* uncorrected energy: -3.699 eV per atom
* space-group type: No. 71
* offset from the most stable computed form: 0.1265 eV/atom
* calculated volume: 25.122 Å³ per atom
* E_form (uncorrected): 0.71 eV per atom

=====

Entry 2:
First-principles (PBE-GGA) data for a relaxed Na3Te4Pb2 crystal, as listed in Alexandria.

```
Na3Te4Pb2
1.0
4.7934 0.0000 0.0000
-0.0030 7.4041 0.0000
-2.3928 -1.7490 8.5532
Na Te Pb
3 4 2
Direct
0.0000 0.0000 0.0000
0.1163 0.5316 0.2301
0.8837 0.4684 0.7699
0.2496 0.2774 0.5000
0.4971 0.7191 0.9946
0.5029 0.2809 0.0054
0.7504 0.7226 0.5000
0.3387 0.9407 0.6771
0.6613 0.0593 0.3229
```

Output
* uncorrected energy: -3.204 eV per atom
* space-group type: No. 2
* calculated volume: 33.730 Å³ per atom
* E_form (uncorrected): -0.54 eV per atom